The following is a DFT calculation (PBE) of TlGaTe after structural relaxation.

Values from the calculation:
- Volume: 36.78 Å³/atom
- Total moment: 0.0000 μB/atom
- Energy above the lowest structure with this stoichiometry: 2.85 kcal/mol of atoms
- E_form (uncorrected): -0.073 eV per atom

a = 7.614 Å, b = 7.614 Å, c = 7.614 Å
α = 90.00°, β = 90.00°, γ = 90.00°
Space group F-43m (No. 216)
One atom of each set of equivalent atoms:
Tl1 0.000 0.000 0.000 (multiplicity 4)
Ga1 0.000 0.000 0.500 (multiplicity 4)
Te1 0.250 0.250 0.750 (multiplicity 4)

=====

The following is a DFT calculation (PBE) of GeP3O6 after structural relaxation.

Values from the calculation:
- Volume: 21.62 Å³/atom
- Total moment: 0.0000 μB/atom
- E_form (uncorrected): -1.398 eV per atom

a = 12.5021 Å, b = 12.5021 Å, c = 9.5840 Å
α = 90.00°, β = 90.00°, γ = 120.00°
Space group R-3 (No. 148, hexagonal axes)
One atom of each set of equivalent atoms:
Ge1 0.0000 0.0000 0.0000 (multiplicity 3)
Ge2 0.0000 0.0000 0.5000 (multiplicity 3)
P1 0.0069 0.8048 0.2360 (multiplicity 18)
O1 0.0251 0.1405 0.8925 (multiplicity 18)
O2 0.0620 0.8921 0.3583 (multiplicity 18)

=====

The following is a DFT calculation (PBE) of SnPS after structural relaxation.

Values from the calculation:
- Volume: 25.25 Å³/atom
- Total moment: 0.0000 μB/atom
- Energy above the lowest structure with this stoichiometry: 3.90 kcal/mol of atoms
- E_form (uncorrected): 0.144 eV per atom

a = 3.160 Å, b = 3.495 Å, c = 7.069 Å
α = 83.43°, β = 77.72°, γ = 89.98°
Space group P1 (No. 1)
One atom of each set of equivalent atoms:
Sn1 0.000 0.000 0.000 (multiplicity 1)
P1 0.812 0.881 0.394 (multiplicity 1)
S1 0.265 0.235 0.493 (multiplicity 1)

=====

The following is a DFT calculation (PBE) of Sm3P2PtRh9 after structural relaxation.

Values from the calculation:
- Volume: 18.94 Å³/atom
- Total moment: 0.0000 μB/atom
- E: -7.016 eV/atom

a = 5.9090 Å, b = 5.9090 Å, c = 9.3972 Å
α = 90.00°, β = 90.00°, γ = 120.00°
Space group P-3m1 (No. 164)
One atom of each set of equivalent atoms:
Sm1 0.0000 0.0000 0.0000 (multiplicity 1)
Sm2 0.3333 0.6667 0.6190 (multiplicity 2)
P1 0.3333 0.6667 0.1577 (multiplicity 2)
Pt1 0.0000 0.0000 0.5000 (multiplicity 1)
Rh1 0.0000 0.5000 0.0000 (multiplicity 3)
Rh2 0.1522 0.3043 0.2786 (multiplicity 6)